(1)
The following is a GGA-PBE calculation of an optimized crystal structure of Be16SiTc2, from the Alexandria database.

abc: 5.517 5.517 5.517
angles: 83.12 83.12 83.12
Element x y z (fractional)
Be 0.690 0.000 0.310
Be 0.000 0.310 0.690
Be 0.310 0.690 0.000
Be 0.000 0.690 0.310
Be 0.690 0.310 0.000
Be 0.310 0.000 0.690
Be 0.348 0.838 0.348
Be 0.838 0.348 0.348
Be 0.348 0.348 0.838
Be 0.647 0.170 0.647
Be 0.170 0.647 0.647
Be 0.647 0.647 0.170
Be 0.003 0.493 0.003
Be 0.493 0.003 0.003
Be 0.003 0.003 0.493
Be 0.108 0.108 0.108
Si 0.896 0.896 0.896
Tc 0.657 0.657 0.657
Tc 0.342 0.342 0.342

## Properties
Formation energy without anion corrections, meV per atom: -140
Crystal system: trigonal
DOS(E_F), states/eV/atom: 0.2830
Uncorrected energy, eV per formula unit: -88.4
SG: R3m


(2)
The following is a GGA-PBE calculation of an optimized crystal structure of BeSi2Tc, from the Alexandria database.

abc: 4.585 4.585 4.585
angles: 138.93 129.19 67.31
Element x y z (fractional)
Be 0.762 0.262 0.500
Si 0.988 0.988 0.000
Si 0.246 0.746 0.500
Tc 0.503 0.503 0.000

## Properties
Formation energy without anion corrections, meV per atom: -98
Crystal system: orthorhombic
DOS(E_F), states/eV/atom: 0.4610
Uncorrected energy, eV per formula unit: -25.3
SG: Imm2


(3)
The following is a GGA-PBE calculation of an optimized crystal structure of Be2SiTc, from the Alexandria database.

abc: 3.713 2.695 4.571
angles: 90.09 90.00 90.00
Element x y z (fractional)
Be 0.000 0.245 0.002
Be 0.500 0.259 0.232
Si 0.000 0.247 0.512
Tc 0.500 0.748 0.754

## Properties
Formation energy without anion corrections, meV per atom: -121
Crystal system: monoclinic
DOS(E_F), states/eV/atom: 0.4193
Uncorrected energy, eV per formula unit: -23.7
SG: Pm


(4)
The following is a GGA-PBE calculation of an optimized crystal structure of Be3SiTc, from the Alexandria database.

abc: 4.189 4.189 4.189
angles: 90.00 90.00 90.00
Element x y z (fractional)
Be 0.000 0.500 0.000
Be 0.000 0.000 0.500
Be 0.500 0.000 0.000
Si 0.500 0.500 0.500
Tc 0.000 0.000 0.000

## Properties
Formation energy without anion corrections, meV per atom: 1075
ΔE to the lowest computed polymorph, meV per atom: 1113
Crystal system: cubic
DOS(E_F), states/eV/atom: 0.3401
Uncorrected energy, eV per formula unit: -21.6
SG: Pm-3m


(5)
The following is a GGA-PBE calculation of an optimized crystal structure of BeSi2Tc, from the Alexandria database.

abc: 3.147 3.147 4.926
angles: 90.00 90.00 90.00
Element x y z (fractional)
Be 0.500 0.500 0.765
Si 0.000 0.000 0.985
Si 0.500 0.500 0.255
Tc 0.000 0.000 0.495

## Properties
Formation energy without anion corrections, meV per atom: -249
Crystal system: tetragonal
DOS(E_F), states/eV/atom: 0.2851
Uncorrected energy, eV per formula unit: -25.9
SG: P4mm


(6)
The following is a GGA-PBE calculation of an optimized crystal structure of BeSi2Tc, from the Alexandria database.

abc: 4.023 4.023 3.036
angles: 90.00 90.00 90.00
Element x y z (fractional)
Be 0.000 0.500 0.500
Si 0.000 0.000 0.000
Si 0.500 0.500 0.000
Tc 0.500 0.000 0.500

## Properties
Formation energy without anion corrections, meV per atom: 19
Crystal system: tetragonal
DOS(E_F), states/eV/atom: 0.5194
Uncorrected energy, eV per formula unit: -24.9
SG: P4/mmm


(7)
The following is a GGA-PBE calculation of an optimized crystal structure of BeSiTc2, from the Alexandria database.

abc: 4.853 4.853 4.853
angles: 143.77 131.67 61.87
Element x y z (fractional)
Be 0.495 0.495 0.000
Si 0.258 0.758 0.500
Tc 0.006 0.006 0.000
Tc 0.742 0.242 0.500

## Properties
Formation energy without anion corrections, meV per atom: -194
ΔE to the lowest computed polymorph, meV per atom: 170
Crystal system: orthorhombic
DOS(E_F), states/eV/atom: 0.6740
Uncorrected energy, eV per formula unit: -30.7
SG: Imm2


(8)
The following is a GGA-PBE calculation of an optimized crystal structure of BeSiTc2, from the Alexandria database.

abc: 4.434 4.434 4.434
angles: 129.29 129.29 74.54
Element x y z (fractional)
Be 0.500 0.500 0.000
Si 0.750 0.250 0.500
Tc 0.000 0.000 0.000
Tc 0.250 0.750 0.500

## Properties
Formation energy without anion corrections, meV per atom: -102
ΔE to the lowest computed polymorph, meV per atom: 262
Crystal system: tetragonal
DOS(E_F), states/eV/atom: 0.5623
Uncorrected energy, eV per formula unit: -30.3
SG: I-4m2


(9)
The following is a GGA-PBE calculation of an optimized crystal structure of BeSi3Tc, from the Alexandria database.

abc: 4.143 4.143 4.143
angles: 90.00 90.00 90.00
Element x y z (fractional)
Be 0.000 0.000 0.000
Si 0.000 0.500 0.000
Si 0.000 0.000 0.500
Si 0.500 0.000 0.000
Tc 0.500 0.500 0.500

## Properties
Formation energy without anion corrections, meV per atom: 995
ΔE to the lowest computed polymorph, meV per atom: 163
Crystal system: cubic
DOS(E_F), states/eV/atom: 0.7810
Uncorrected energy, eV per formula unit: -25.4
SG: Pm-3m


(10)
The following is a GGA-PBE calculation of an optimized crystal structure of BeSi2Tc, from the Alexandria database.

abc: 3.079 3.092 5.946
angles: 58.69 90.00 90.00
Element x y z (fractional)
Be 0.500 0.750 0.750
Si 0.000 0.015 0.984
Si 0.000 0.485 0.516
Tc 0.500 0.250 0.250

## Properties
Formation energy without anion corrections, meV per atom: -208
Crystal system: orthorhombic
DOS(E_F), states/eV/atom: 0.2865
Uncorrected energy, eV per formula unit: -25.8
SG: Pmmm


(11)
The following is a GGA-PBE calculation of an optimized crystal structure of BeSiTc2, from the Alexandria database.

abc: 7.591 7.591 7.591
angles: 21.47 21.47 21.47
Element x y z (fractional)
Be 0.250 0.250 0.250
Si 0.750 0.750 0.750
Tc 0.997 0.997 0.997
Tc 0.503 0.503 0.503

## Properties
Formation energy without anion corrections, meV per atom: -60
ΔE to the lowest computed polymorph, meV per atom: 304
Crystal system: trigonal
DOS(E_F), states/eV/atom: 0.5003
Uncorrected energy, eV per formula unit: -30.1
SG: R-3m


(12)
The following is a GGA-PBE calculation of an optimized crystal structure of BeSiTc2, from the Alexandria database.

abc: 4.150 4.150 4.827
angles: 79.33 79.33 39.41
Element x y z (fractional)
Be 0.250 0.250 0.250
Si 0.750 0.750 0.750
Tc 0.000 0.000 0.012
Tc 0.500 0.500 0.488

## Properties
Formation energy without anion corrections, meV per atom: -88
ΔE to the lowest computed polymorph, meV per atom: 277
Crystal system: monoclinic
DOS(E_F), states/eV/atom: 0.4559
Uncorrected energy, eV per formula unit: -30.2
SG: C2/m